No. 1
# LiPH6 (PBE-GGA, optimized geometry)
# Crystal system: monoclinic
# Total DFT energy (no corrections) in eV/f.u.: -26.86
data_LiPH6
_symmetry_space_group_name_H-M 'P 1'
_symmetry_Int_Tables_number 1
_cell_length_a 4.1182
_cell_length_b 4.1182
_cell_length_c 4.1546
_cell_angle_alpha 97.59
_cell_angle_beta 97.59
_cell_angle_gamma 115.95
loop_
_symmetry_equiv_pos_as_xyz
'x,y,z'
loop_
_atom_site_label
_atom_site_type_symbol
_atom_site_fract_x
_atom_site_fract_y
_atom_site_fract_z
_atom_site_occupancy
Li1 Li 0.0000 0.0000 0.0000 1
H1 H 0.5321 0.8413 0.7118 1
H2 H 0.8413 0.5321 0.7118 1
H3 H 0.1587 0.4679 0.2882 1
H4 H 0.2710 0.2710 0.7131 1
H5 H 0.7290 0.7290 0.2869 1
H6 H 0.4679 0.1587 0.2882 1
P1 P 0.5000 0.5000 0.5000 1

No. 2
# Ho4Er3In4 (PBE-GGA, optimized geometry)
# Crystal system: orthorhombic
# Total DFT energy (no corrections) in eV/f.u.: -46.07
data_Ho4Er3In4
_symmetry_space_group_name_H-M 'P 1'
_symmetry_Int_Tables_number 1
_cell_length_a 3.6058
_cell_length_b 9.4087
_cell_length_c 10.5969
_cell_angle_alpha 116.36
_cell_angle_beta 99.80
_cell_angle_gamma 90.00
loop_
_symmetry_equiv_pos_as_xyz
'x,y,z'
loop_
_atom_site_label
_atom_site_type_symbol
_atom_site_fract_x
_atom_site_fract_y
_atom_site_fract_z
_atom_site_occupancy
Ho1 Ho 0.3374 0.5256 0.6749 1
Ho2 Ho 0.6626 0.8507 0.3251 1
Ho3 Ho 0.3374 0.1493 0.6749 1
Ho4 Ho 0.6626 0.4744 0.3251 1
Er1 Er 0.9034 0.9034 0.8067 1
Er2 Er 0.0000 0.5000 0.0000 1
Er3 Er 0.0966 0.0966 0.1933 1
In1 In 0.5000 0.7813 0.0000 1
In2 In 0.2685 0.7685 0.5370 1
In3 In 0.5000 0.2187 0.0000 1
In4 In 0.7315 0.2315 0.4630 1

No. 3
# RbTa2TiP (PBE-GGA, optimized geometry)
# Crystal system: tetragonal
# Total DFT energy (no corrections) in eV/f.u.: -28.57
data_RbTa2TiP
_symmetry_space_group_name_H-M 'P 1'
_symmetry_Int_Tables_number 1
_cell_length_a 4.8015
_cell_length_b 5.4855
_cell_length_c 4.8015
_cell_angle_alpha 90.00
_cell_angle_beta 90.00
_cell_angle_gamma 90.00
loop_
_symmetry_equiv_pos_as_xyz
'x,y,z'
loop_
_atom_site_label
_atom_site_type_symbol
_atom_site_fract_x
_atom_site_fract_y
_atom_site_fract_z
_atom_site_occupancy
Rb1 Rb 0.0000 0.5000 0.0000 1
Ti1 Ti 0.0000 0.0000 0.0000 1
P1 P 0.5000 0.5000 0.5000 1
Ta1 Ta 0.0000 0.0000 0.5000 1
Ta2 Ta 0.5000 0.0000 0.0000 1

No. 4
# MoAs (PBE-GGA, optimized geometry)
# Crystal system: hexagonal
# Total DFT energy (no corrections) in eV/f.u.: -15.29
data_MoAs
_symmetry_space_group_name_H-M 'P 1'
_symmetry_Int_Tables_number 1
_cell_length_a 3.1575
_cell_length_b 3.1575
_cell_length_c 7.4948
_cell_angle_alpha 90.00
_cell_angle_beta 90.00
_cell_angle_gamma 120.00
loop_
_symmetry_equiv_pos_as_xyz
'x,y,z'
loop_
_atom_site_label
_atom_site_type_symbol
_atom_site_fract_x
_atom_site_fract_y
_atom_site_fract_z
_atom_site_occupancy
Mo1 Mo 0.3333 0.6667 0.2500 1
Mo2 Mo 0.6667 0.3333 0.7500 1
As1 As 0.0000 0.0000 0.5000 1
As2 As 0.0000 0.0000 0.0000 1

No. 5
# Ba2CaI6 (PBE-GGA, optimized geometry)
# Crystal system: monoclinic
# Total DFT energy (no corrections) in eV/f.u.: -29.89
data_Ba2CaI6
_symmetry_space_group_name_H-M 'P 1'
_symmetry_Int_Tables_number 1
_cell_length_a 9.2120
_cell_length_b 9.2120
_cell_length_c 10.1742
_cell_angle_alpha 88.77
_cell_angle_beta 88.77
_cell_angle_gamma 119.02
loop_
_symmetry_equiv_pos_as_xyz
'x,y,z'
loop_
_atom_site_label
_atom_site_type_symbol
_atom_site_fract_x
_atom_site_fract_y
_atom_site_fract_z
_atom_site_occupancy
Ca1 Ca 0.9527 0.0473 0.2500 1
Ca2 Ca 0.0473 0.9527 0.7500 1
I1 I 0.9473 0.1836 0.9495 1
I2 I 0.1836 0.9473 0.4495 1
I3 I 0.6547 0.6995 0.8454 1
I4 I 0.0527 0.8164 0.0505 1
I5 I 0.8164 0.0527 0.5505 1
I6 I 0.9887 0.5648 0.7139 1
I7 I 0.3005 0.3453 0.6546 1
I8 I 0.6995 0.6547 0.3454 1
I9 I 0.5648 0.9887 0.2139 1
I10 I 0.4352 0.0113 0.7861 1
I11 I 0.3453 0.3005 0.1546 1
I12 I 0.0113 0.4352 0.2861 1
Ba1 Ba 0.7224 0.3962 0.0129 1
Ba2 Ba 0.3962 0.7224 0.5129 1
Ba3 Ba 0.6038 0.2776 0.4871 1
Ba4 Ba 0.2776 0.6038 0.9871 1

No. 6
# Al8CuSi2 (PBE-GGA, optimized geometry)
# Crystal system: tetragonal
# Total DFT energy (no corrections) in eV/f.u.: -44.28
data_Al8CuSi2
_symmetry_space_group_name_H-M 'P 1'
_symmetry_Int_Tables_number 1
_cell_length_a 3.9896
_cell_length_b 3.9896
_cell_length_c 11.1153
_cell_angle_alpha 90.00
_cell_angle_beta 90.00
_cell_angle_gamma 90.00
loop_
_symmetry_equiv_pos_as_xyz
'x,y,z'
loop_
_atom_site_label
_atom_site_type_symbol
_atom_site_fract_x
_atom_site_fract_y
_atom_site_fract_z
_atom_site_occupancy
Al1 Al 0.5000 0.0000 0.8639 1
Al2 Al 0.0000 0.5000 0.8639 1
Al3 Al 0.5000 0.5000 0.6859 1
Al4 Al 0.5000 0.0000 0.1361 1
Al5 Al 0.0000 0.5000 0.5000 1
Al6 Al 0.5000 0.0000 0.5000 1
Al7 Al 0.0000 0.5000 0.1361 1
Al8 Al 0.5000 0.5000 0.3141 1
Cu1 Cu 0.0000 0.0000 0.0000 1
Si1 Si 0.0000 0.0000 0.3280 1
Si2 Si 0.0000 0.0000 0.6720 1

No. 7
# MnTcP2Cl (PBE-GGA, optimized geometry)
# Crystal system: tetragonal
# Total DFT energy (no corrections) in eV/f.u.: -29.72
data_MnTcP2Cl
_symmetry_space_group_name_H-M 'P 1'
_symmetry_Int_Tables_number 1
_cell_length_a 4.5363
_cell_length_b 4.5363
_cell_length_c 5.1523
_cell_angle_alpha 90.00
_cell_angle_beta 90.00
_cell_angle_gamma 90.00
loop_
_symmetry_equiv_pos_as_xyz
'x,y,z'
loop_
_atom_site_label
_atom_site_type_symbol
_atom_site_fract_x
_atom_site_fract_y
_atom_site_fract_z
_atom_site_occupancy
Tc1 Tc 0.0000 0.0000 0.0000 1
Mn1 Mn 0.5000 0.5000 0.5000 1
P1 P 0.0000 0.5000 0.0000 1
P2 P 0.5000 0.0000 0.0000 1
Cl1 Cl 0.0000 0.0000 0.5000 1

No. 8
# Bi6Au5 (PBE-GGA, optimized geometry)
# Crystal system: monoclinic
# Total DFT energy (no corrections) in eV/f.u.: -39.71
data_Bi6Au5
_symmetry_space_group_name_H-M 'P 1'
_symmetry_Int_Tables_number 1
_cell_length_a 6.5998
_cell_length_b 6.3009
_cell_length_c 8.5205
_cell_angle_alpha 81.41
_cell_angle_beta 73.43
_cell_angle_gamma 58.42
loop_
_symmetry_equiv_pos_as_xyz
'x,y,z'
loop_
_atom_site_label
_atom_site_type_symbol
_atom_site_fract_x
_atom_site_fract_y
_atom_site_fract_z
_atom_site_occupancy
Au1 Au 0.6315 0.7370 0.0000 1
Au2 Au 0.3685 0.2630 0.0000 1
Au3 Au 0.5000 0.0000 0.5000 1
Au4 Au 0.7756 0.4488 0.5000 1
Au5 Au 0.2244 0.5512 0.5000 1
Bi1 Bi 0.9439 0.6814 0.2106 1
Bi2 Bi 0.0561 0.3186 0.7894 1
Bi3 Bi 0.6253 0.3186 0.2106 1
Bi4 Bi 0.3747 0.6814 0.7894 1
Bi5 Bi 0.7915 0.0000 0.6970 1
Bi6 Bi 0.2085 0.0000 0.3030 1

Look up the total DFT energy (no corrections) of the fifth one. -29.89 eV/f.u.

What is the total DFT energy (no corrections) in the sixth record? -44.28 eV/f.u.

The highest total DFT energy (no corrections) belongs to which entry? MoAs